Material: NbAu3S
Method: DFT, PBE-GGA
State: relaxed

Unit cell a=5.133 b=5.133 c=5.133 alpha=90.00 beta=90.00 gamma=90.00
Fractional positions:
Nb 0.000 0.000 0.000
Au 0.000 0.500 0.000
Au 0.000 0.000 0.500
S 0.500 0.500 0.500
Au 0.500 0.000 0.000

Summary:
ΔE_f (raw), eV per atom: 1.34
E above lowest polymorph, eV/f.u.: 2.303
SG: Pm-3m (221)

=====

Material: Nb2Au2S
Method: DFT, PBE-GGA
State: relaxed

Unit cell a=7.708 b=7.708 c=3.279 alpha=90.00 beta=90.00 gamma=90.00
Fractional positions:
S 0.500 0.500 0.000
S 0.000 0.000 0.000
Nb 0.379 0.121 0.500
Au 0.172 0.328 0.000
Au 0.672 0.172 0.000
Au 0.828 0.672 0.000
Nb 0.879 0.379 0.500
Au 0.328 0.828 0.000
Nb 0.621 0.879 0.500
Nb 0.121 0.621 0.500

Summary:
ΔE_f (raw), eV per atom: 0.39
E above lowest polymorph, eV/f.u.: 0.000
SG: P4/mbm (127)

=====

Material: NbAuS2
Method: DFT, PBE-GGA
State: relaxed

Unit cell a=5.879 b=5.879 c=6.646 alpha=63.75 beta=63.75 gamma=90.00
Fractional positions:
S 0.605 0.125 0.250
S 0.375 0.395 0.750
S 0.145 0.625 0.250
Au 0.000 0.000 0.000
Nb 0.250 0.750 0.500
Nb 0.500 0.500 0.000
S 0.875 0.855 0.750
Au 0.750 0.250 0.500

Summary:
ΔE_f (raw), eV per atom: -0.21
SG: I-42d (122)

=====

Material: NbAuS2
Method: DFT, PBE-GGA
State: relaxed

Unit cell a=4.529 b=4.529 c=4.529 alpha=60.00 beta=60.00 gamma=60.00
Each line ends with the local moment (μB).
Fractional positions:
S 0.750 0.750 0.750  0.01
Nb 0.000 0.000 0.000  0.85
Au 0.500 0.500 0.500  0.07
S 0.250 0.250 0.250  0.01

Summary:
ΔE_f (raw), eV per atom: 0.03
SG: Fm-3m (225)

=====

Material: NbAu3S
Method: DFT, PBE-GGA
State: relaxed

Unit cell a=4.723 b=4.723 c=4.723 alpha=90.00 beta=90.00 gamma=90.00
Each line ends with the local moment (μB).
Fractional positions:
Au 0.000 0.000 0.500  -0.06
Nb 0.500 0.500 0.500  1.89
Au 0.500 0.000 0.000  0.00
S 0.000 0.000 0.000  0.01
Au 0.000 0.500 0.000  -0.03

Summary:
ΔE_f (raw), eV per atom: 0.88
E above lowest polymorph, eV/f.u.: 0.000
SG: Pm-3m (221)

=====

Material: Nb3AuS
Method: DFT, PBE-GGA
State: relaxed

Unit cell a=4.571 b=4.571 c=4.571 alpha=90.00 beta=90.00 gamma=90.00
Fractional positions:
Nb 0.000 0.000 0.500
Nb 0.000 0.500 0.000
S 0.000 0.000 0.000
Au 0.500 0.500 0.500
Nb 0.500 0.000 0.000

Summary:
ΔE_f (raw), eV per atom: 0.12
E above lowest polymorph, eV/f.u.: 0.000
SG: Pm-3m (221)

=====

Material: Nb3AuS
Method: DFT, PBE-GGA
State: relaxed

Unit cell a=4.986 b=4.986 c=4.986 alpha=90.00 beta=90.00 gamma=90.00
Fractional positions:
Nb 0.000 0.500 0.000
Nb 0.500 0.000 0.000
Au 0.000 0.000 0.000
Nb 0.000 0.000 0.500
S 0.500 0.500 0.500

Summary:
ΔE_f (raw), eV per atom: 1.64
E above lowest polymorph, eV/f.u.: 7.631
SG: Pm-3m (221)

=====

Material: NbAuS2
Method: DFT, PBE-GGA
State: relaxed

Unit cell a=8.128 b=8.128 c=8.128 alpha=23.72 beta=23.72 gamma=23.72
Fractional positions:
Nb 0.500 0.500 0.500
Au 0.000 0.000 0.000
S 0.900 0.900 0.900
S 0.100 0.100 0.100

Summary:
ΔE_f (raw), eV per atom: -0.69
SG: R-3m (166)